# 1
This record from the Alexandria database describes LaAsAu at its PBEsol-relaxed geometry. The functional is meta-GGA SCAN.

Summary:
For the total magnetic moment, the calculation gives 0.00 μB/cell. The calculation puts the energy at -45.037 eV/atom. As for the crystal system: tetragonal. The space group is I4mm. For the formation energy, the calculation gives -0.89 eV/atom.

Cell lengths 4.064, 4.064, 5.218 Å; angles 112.92, 112.92, 89.97 degrees
Fractional coordinates of all 3 atoms:
As 0.983 0.983 0.965
Au 0.677 0.677 0.355
La 0.340 0.340 0.680

---

# 2
This record from the Alexandria database describes BaIr2Cl at its PBEsol-relaxed geometry. The functional is meta-GGA SCAN.

Summary:
As for the formation energy from raw total energies: 0.165 eV per atom. For the total magnetic moment, the calculation gives 0.00 μB/cell. The calculation puts the energy at -47.266 eV/atom. As for the crystal system: tetragonal. The space group is P4/mmm. As for the energy above the most stable polymorph in this dataset: 491 meV per atom.

Cell lengths 3.847, 3.847, 6.121 Å; angles 90.00, 90.00, 90.00 degrees
Fractional coordinates of all 4 atoms:
Ir 0.000 0.500 0.000
Ir 0.500 0.000 0.000
Ba 0.500 0.500 0.500
Cl 0.000 0.000 0.500

---

# 3
This record from the Alexandria database describes NiPt2Rh at its PBEsol-relaxed geometry. The functional is meta-GGA SCAN.

Summary:
For the total magnetic moment, the calculation gives 2.28 μB/cell. The calculation puts the energy at -47.650 eV/atom. As for the crystal system: monoclinic. The space group is C2/m. For the formation energy, the calculation gives -0.07 eV/atom.

Cell lengths 2.701, 4.631, 4.647 Å; angles 100.10, 90.00, 106.95 degrees
Fractional coordinates of all 4 atoms:
Ni 0.500 0.000 0.000
Rh 0.000 0.000 0.500
Pt 0.753 0.506 0.753
Pt 0.247 0.494 0.247

---

# 4
This record from the Alexandria database describes NaSnGeW2 at its PBEsol-relaxed geometry. The functional is meta-GGA SCAN.

Summary:
For the total magnetic moment, the calculation gives 1.12 μB/cell. The calculation puts the energy at -38.056 eV/atom. As for the crystal system: tetragonal. The space group is P4/mmm. For the formation energy, the calculation gives 1.66 eV/atom.

Cell lengths 4.678, 4.678, 5.288 Å; angles 90.00, 90.00, 90.00 degrees
Fractional coordinates of all 5 atoms:
Na 0.500 0.500 0.500
Ge 0.000 0.000 0.000
Sn 0.000 0.000 0.500
W 0.000 0.500 0.000
W 0.500 0.000 0.000

---

# 5
This record from the Alexandria database describes CsBaLi3 at its PBEsol-relaxed geometry. The functional is meta-GGA SCAN.

Summary:
For the total magnetic moment, the calculation gives 0.99 μB/cell. The calculation puts the energy at -16.344 eV/atom. As for the crystal system: cubic. The space group is Pm-3m. For the formation energy, the calculation gives 0.56 eV/atom.

Cell lengths 6.744, 6.744, 6.744 Å; angles 90.00, 90.00, 90.00 degrees
Fractional coordinates of all 5 atoms:
Cs 0.500 0.500 0.500
Ba 0.000 0.000 0.000
Li 0.000 0.500 0.000
Li 0.000 0.000 0.500
Li 0.500 0.000 0.000

---

# 6
This record from the Alexandria database describes YRhN3 at its PBEsol-relaxed geometry. The functional is meta-GGA SCAN.

Summary:
As for the formation energy from raw total energies: 1.913 eV per atom. For the total magnetic moment, the calculation gives 0.00 μB/cell. The calculation puts the energy at -15.984 eV/atom. As for the crystal system: cubic. The space group is Pm-3m.

Cell lengths 4.217, 4.217, 4.217 Å; angles 90.00, 90.00, 90.00 degrees
Fractional coordinates of all 5 atoms:
Y 0.000 0.000 0.000
Rh 0.500 0.500 0.500
N 0.000 0.500 0.000
N 0.000 0.000 0.500
N 0.500 0.000 0.000

---

# 7
This record from the Alexandria database describes BaCdHg2 at its PBEsol-relaxed geometry. The functional is meta-GGA SCAN.

Summary:
For the total magnetic moment, the calculation gives 0.00 μB/cell. The calculation puts the energy at -51.979 eV/atom. As for the crystal system: monoclinic. The space group is P2/m. For the formation energy, the calculation gives -0.41 eV/atom.

Cell lengths 3.840, 4.068, 7.256 Å; angles 90.00, 97.24, 90.00 degrees
Fractional coordinates of all 4 atoms:
Ba 0.500 0.500 0.000
Hg 0.948 0.000 0.709
Hg 0.052 0.000 0.291
Cd 0.500 0.500 0.500

---

# 8
This record from the Alexandria database describes SrSi2Rh at its PBEsol-relaxed geometry. The functional is meta-GGA SCAN.

Summary:
As for the formation energy from raw total energies: -0.090 eV per atom. For the total magnetic moment, the calculation gives 0.00 μB/cell. The calculation puts the energy at -19.110 eV/atom. As for the crystal system: orthorhombic. The space group is Imm2.

Cell lengths 4.113, 5.002, 5.002 Å; angles 69.98, 65.72, 65.72 degrees
Fractional coordinates of all 4 atoms:
Rh 0.339 0.161 0.161
Si 0.993 0.007 0.007
Si 0.677 0.823 0.823
Sr 0.492 0.508 0.508

---

# 9
This record from the Alexandria database describes FeNiIr2 at its PBEsol-relaxed geometry. The functional is meta-GGA SCAN.

Summary:
For the total magnetic moment, the calculation gives 4.26 μB/cell. The calculation puts the energy at -44.242 eV/atom. As for the crystal system: monoclinic. The space group is C2/m. For the formation energy, the calculation gives -0.12 eV/atom. As for the energy above the most stable polymorph in this dataset: 13 meV per atom.

Cell lengths 2.644, 4.429, 4.598 Å; angles 99.88, 90.00, 107.37 degrees
Fractional coordinates of all 4 atoms:
Ni 0.000 0.000 0.500
Ir 0.752 0.504 0.749
Ir 0.248 0.496 0.251
Fe 0.500 0.000 0.000

---

# 10
This record from the Alexandria database describes SrRhAu4 at its PBEsol-relaxed geometry. The functional is meta-GGA SCAN.

Summary:
For the total magnetic moment, the calculation gives 0.00 μB/cell. The calculation puts the energy at -55.672 eV/atom. As for the crystal system: cubic. The space group is F-43m. For the formation energy, the calculation gives -0.23 eV/atom.

Cell lengths 5.455, 5.455, 5.455 Å; angles 60.00, 60.00, 60.00 degrees
Fractional coordinates of all 6 atoms:
Au 0.376 0.376 0.376
Au 0.376 0.376 0.873
Au 0.873 0.376 0.376
Au 0.376 0.873 0.376
Rh 0.750 0.750 0.750
Sr 0.000 0.000 0.000

---

# 11
This record from the Alexandria database describes Cr2SnSb at its PBEsol-relaxed geometry. The functional is meta-GGA SCAN.

Summary:
As for the formation energy from raw total energies: 0.455 eV per atom. For the total magnetic moment, the calculation gives 3.34 μB/cell. The calculation puts the energy at -27.032 eV/atom. As for the crystal system: cubic. The space group is Fm-3m.

Cell lengths 4.508, 4.508, 4.508 Å; angles 60.00, 60.00, 60.00 degrees
Fractional coordinates of all 4 atoms:
Sb 0.500 0.500 0.500
Sn 0.000 0.000 0.000
Cr 0.250 0.250 0.250
Cr 0.750 0.750 0.750

---

# 12
This record from the Alexandria database describes BeWCl at its PBEsol-relaxed geometry. The functional is meta-GGA SCAN.

Summary:
As for the formation energy from raw total energies: 0.553 eV per atom. For the total magnetic moment, the calculation gives 0.00 μB/cell. The calculation puts the energy at -26.786 eV/atom. As for the crystal system: orthorhombic. The space group is Fmm2. As for the energy above the most stable polymorph in this dataset: 102 meV per atom.

Cell lengths 2.759, 2.946, 6.166 Å; angles 83.99, 77.07, 62.08 degrees
Fractional coordinates of all 3 atoms:
Be 0.989 0.000 0.023
W 0.655 0.000 0.689
Cl 0.356 0.000 0.288

---

# 13
This record from the Alexandria database describes NaSrP at its PBEsol-relaxed geometry. The functional is meta-GGA SCAN.

Summary:
For the total magnetic moment, the calculation gives 0.00 μB/cell. The calculation puts the energy at -13.263 eV/atom. As for the crystal system: hexagonal. The space group is P-62m. For the formation energy, the calculation gives -0.97 eV/atom.

Cell lengths 4.439, 7.615, 7.615 Å; angles 120.00, 90.00, 90.00 degrees
Fractional coordinates of all 9 atoms:
Sr 0.500 0.000 0.414
Sr 0.500 0.586 0.586
Sr 0.500 0.414 0.000
Na 0.000 0.242 0.242
Na 0.000 0.758 0.000
Na 0.000 0.000 0.758
P 0.000 0.667 0.333
P 0.500 0.000 0.000
P 0.000 0.333 0.667

---

# 14
This record from the Alexandria database describes TaPbBr2N at its PBEsol-relaxed geometry. The functional is meta-GGA SCAN.

Summary:
As for the formation energy from raw total energies: 0.929 eV per atom. For the total magnetic moment, the calculation gives 2.16 μB/cell. The calculation puts the energy at -37.186 eV/atom. As for the crystal system: tetragonal. The space group is P4/mmm.

Cell lengths 4.904, 4.904, 5.749 Å; angles 90.00, 90.00, 90.00 degrees
Fractional coordinates of all 5 atoms:
Pb 0.000 0.000 0.500
N 0.500 0.500 0.500
Br 0.000 0.500 0.000
Br 0.500 0.000 0.000
Ta 0.000 0.000 0.000

---

# 15
This record from the Alexandria database describes La5Hg3 at its PBEsol-relaxed geometry. The functional is meta-GGA SCAN.

Summary:
For the total magnetic moment, the calculation gives 0.00 μB/cell. The calculation puts the energy at -53.059 eV/atom. As for the crystal system: hexagonal. The space group is P6_3/mcm. For the formation energy, the calculation gives -0.56 eV/atom. As for the energy above the most stable polymorph in this dataset: 8 meV per atom.

Cell lengths 6.686, 9.203, 9.203 Å; angles 120.00, 90.00, 90.00 degrees
Fractional coordinates of all 16 atoms:
Hg 0.750 0.400 0.400
Hg 0.250 0.600 0.600
Hg 0.750 0.000 0.600
Hg 0.750 0.600 0.000
Hg 0.250 0.400 0.000
Hg 0.250 0.000 0.400
La 0.000 0.667 0.333
La 0.500 0.333 0.667
La 0.000 0.333 0.667
La 0.500 0.667 0.333
La 0.750 0.760 0.760
La 0.250 0.240 0.240
La 0.750 0.000 0.240
La 0.750 0.240 0.000
La 0.250 0.760 0.000
La 0.250 0.000 0.760

---

# 16
This record from the Alexandria database describes HgGe2Bi2 at its PBEsol-relaxed geometry. The functional is meta-GGA SCAN.

Summary:
For the total magnetic moment, the calculation gives 0.00 μB/cell. The calculation puts the energy at -52.470 eV/atom. As for the crystal system: tetragonal. The space group is I4/mmm. For the formation energy, the calculation gives 0.23 eV/atom.

Cell lengths 4.425, 4.425, 7.819 Å; angles 106.44, 106.44, 90.00 degrees
Fractional coordinates of all 5 atoms:
Ge 0.250 0.750 0.500
Ge 0.750 0.250 0.500
Bi 0.381 0.381 0.763
Bi 0.619 0.619 0.237
Hg 0.000 0.000 0.000

---

# 17
This record from the Alexandria database describes MgReSb2 at its PBEsol-relaxed geometry. The functional is meta-GGA SCAN.

Summary:
As for the formation energy from raw total energies: 0.529 eV per atom. For the total magnetic moment, the calculation gives 0.00 μB/cell. The calculation puts the energy at -37.119 eV/atom. As for the crystal system: tetragonal. The space group is P4/mmm.

Cell lengths 3.450, 4.723, 4.723 Å; angles 90.00, 90.00, 90.00 degrees
Fractional coordinates of all 4 atoms:
Mg 0.500 0.500 0.500
Re 0.500 0.000 0.000
Sb 0.000 0.000 0.500
Sb 0.000 0.500 0.000

---

# 18
This record from the Alexandria database describes MnBeFe3 at its PBEsol-relaxed geometry. The functional is meta-GGA SCAN.

Summary:
For the total magnetic moment, the calculation gives 5.71 μB/cell. The calculation puts the energy at -13.965 eV/atom. As for the crystal system: cubic. The space group is Pm-3m. For the formation energy, the calculation gives 1.43 eV/atom.

Cell lengths 4.075, 4.075, 4.075 Å; angles 90.00, 90.00, 90.00 degrees
Fractional coordinates of all 5 atoms:
Be 0.500 0.500 0.500
Mn 0.000 0.000 0.000
Fe 0.000 0.500 0.000
Fe 0.000 0.000 0.500
Fe 0.500 0.000 0.000

---

# 19
This record from the Alexandria database describes Li2CaCu2 at its PBEsol-relaxed geometry. The functional is meta-GGA SCAN.

Summary:
For the total magnetic moment, the calculation gives 0.00 μB/cell. The calculation puts the energy at -8.992 eV/atom. As for the crystal system: tetragonal. The space group is I4/mmm. For the formation energy, the calculation gives -0.02 eV/atom.

Cell lengths 3.929, 3.929, 6.515 Å; angles 107.55, 107.55, 90.00 degrees
Fractional coordinates of all 5 atoms:
Ca 0.000 0.000 0.000
Cu 0.400 0.400 0.800
Cu 0.600 0.600 0.200
Li 0.250 0.750 0.500
Li 0.750 0.250 0.500

---

# 20
This record from the Alexandria database describes Hf2AgSnOs at its PBEsol-relaxed geometry. The functional is meta-GGA SCAN.

Summary:
For the total magnetic moment, the calculation gives 1.25 μB/cell. The calculation puts the energy at -51.436 eV/atom. As for the crystal system: tetragonal. The space group is P4/mmm. For the formation energy, the calculation gives 1.47 eV/atom.

Cell lengths 4.711, 4.942, 4.942 Å; angles 90.00, 90.00, 90.00 degrees
Fractional coordinates of all 5 atoms:
Hf 0.000 0.000 0.500
Hf 0.000 0.500 0.000
Os 0.500 0.500 0.500
Sn 0.500 0.000 0.000
Ag 0.000 0.000 0.000